# Pr6SiGe2S3

A relaxed Pr6SiGe2S3 crystal (PBE, Alexandria via LeMat-Bulk).

Its total magnetization is 0.00 μB per cell. The uncorrected formation energy comes out at -16.84 eV per formula unit.

Cell: 4.2345 8.4767 9.4742 Å, 103.34 102.91 90.00°
Sites, in units of the cell vectors:
Pr  0.3334  0.9184  0.6668
Pr  0.6658  0.5842  0.3316
Pr  0.6666  0.0816  0.3332
Pr  0.9992  0.2490  0.9985
Pr  0.0008  0.7510  0.0015
Pr  0.3342  0.4158  0.6684
Si  0.5000  0.0000  0.0000
Ge  0.8333  0.6668  0.6667
Ge  0.1667  0.3332  0.3333
S  0.5000  0.5000  0.0000
S  0.8333  0.1667  0.6666
S  0.1667  0.8333  0.3334

=====

# PrSmGeS

A relaxed PrSmGeS crystal (PBE, Alexandria via LeMat-Bulk).

Its total magnetization is 0.00 μB per cell. The uncorrected formation energy comes out at -5.77 eV per formula unit.

Cell: 4.1836 4.1836 7.2807 Å, 73.30 73.30 60.00°
Sites, in units of the cell vectors:
Pr  0.6946  0.6946  0.9163
Sm  0.1934  0.1934  0.4199
Ge  0.9423  0.9423  0.1730
S  0.4461  0.4461  0.6616

=====

- Look up the uncorrected formation energy of the first one.
  -16.84 eV per formula unit